CaEr3Al8 (PBE, relaxed); DFT total energy = -50.99 eV per cell; magnetization = 0.00 μB per formula unit
1.0
5.5613 0.0000 0.0000
-2.7807 4.8162 0.0000
0.0000 0.0000 9.0608
Ca Er Al
1 3 8
direct
0.0000 0.0000 0.0000 Ca
0.0000 0.0000 0.3674 Er
0.6667 0.3333 0.5018 Er
0.6667 0.3333 0.8677 Er
0.1624 0.3247 0.6803 Al
0.1624 0.8376 0.6803 Al
0.3333 0.6667 0.4334 Al
0.3333 0.6667 0.9340 Al
0.5050 0.0099 0.1873 Al
0.5050 0.4950 0.1873 Al
0.6753 0.8376 0.6803 Al
0.9901 0.4950 0.1873 Al

***

Ca2ErAl9 (PBE, relaxed); DFT total energy = -45.34 eV per cell; magnetization = 0.00 μB per formula unit
1.0
2.7879 1.6096 8.9447
-2.7879 1.6096 8.9447
0.0000 -3.2192 8.9447
Ca Er Al
2 1 9
direct
0.1420 0.1420 0.1420 Ca
0.8580 0.8580 0.8580 Ca
0.0000 0.0000 0.0000 Er
0.0772 0.5838 0.5838 Al
0.3349 0.3349 0.3349 Al
0.4162 0.4162 0.9228 Al
0.4162 0.9228 0.4162 Al
0.5000 0.5000 0.5000 Al
0.5838 0.0772 0.5838 Al
0.5838 0.5838 0.0772 Al
0.6651 0.6651 0.6651 Al
0.9228 0.4162 0.4162 Al

***

CaEr3Al8 (PBE, relaxed); DFT total energy = -51.05 eV per cell; magnetization = 0.00 μB per formula unit
1.0
2.7752 1.6023 9.1014
-2.7752 1.6023 9.1014
0.0000 -3.2045 9.1014
Ca Er Al
1 3 8
direct
0.0000 0.0000 0.0000 Ca
0.1244 0.1244 0.1244 Er
0.4998 0.4998 0.4998 Er
0.6246 0.6246 0.6246 Er
0.0619 0.0619 0.5594 Al
0.0619 0.5594 0.0619 Al
0.0646 0.5629 0.5629 Al
0.3123 0.3123 0.3123 Al
0.5594 0.0619 0.0619 Al
0.5629 0.0646 0.5629 Al
0.5629 0.5629 0.0646 Al
0.8120 0.8120 0.8120 Al